First-principles (GGA-PBEsol) data for a geometry-optimized LiYTe2I structure, as listed in Alexandria.

Calculated values
Calculated volume in Å³/cell: 201.36
ρ in kg/m³: 3941
Energy relative to the elements, uncorrected in eV per atom: -0.68

abc: 5.793 5.793 6.001
angles: 90.00 90.00 90.00
Element x y z (fractional)
1 Li 0.000 0.000 0.000
2 Y 0.500 0.500 0.500
3 Te 0.000 0.500 0.500
4 Te 0.500 0.000 0.500
5 I 0.500 0.500 0.000